Computed, not measured: a geometry-optimized ZrCdRuRh structure at the PBE level of DFT.

For the formation energy, the calculation gives -1.43 eV/f.u.

It has space group F-43m (No. 216), with a = 6.4951 Å, b = 6.4951 Å, c = 6.4951 Å, α = 90.00°, β = 90.00° and γ = 90.00°. The asymmetric unit holds Zr at (0.0000, 0.0000, 0.0000), Cd at (0.0000, 0.0000, 0.5000), Ru at (0.2500, 0.2500, 0.2500) and Rh at (0.2500, 0.2500, 0.7500).